Record 1
# Ac5Nd2Er, relaxed, DFT GGA-PBE
data_Ac5Nd2Er
_space_group_name_H-M_alt 'C 1 2/c 1'
_space_group_IT_number 15
_cell_length_a 17.218
_cell_length_b 10.651
_cell_length_c 7.294
_cell_angle_alpha 90.00
_cell_angle_beta 102.98
_cell_angle_gamma 90.00
loop_
_space_group_symop_operation_xyz
'x,y,z'
'-x,-y,-z'
'-x,y,-z+1/2'
'x,-y,z+1/2'
'x+1/2,y+1/2,z'
'-x+1/2,-y+1/2,-z'
'-x+1/2,y+1/2,-z+1/2'
'x+1/2,-y+1/2,z+1/2'
loop_
_atom_site_label
_atom_site_fract_x
_atom_site_fract_y
_atom_site_fract_z
Ac1 0.000 0.070 0.250
Ac2 0.096 0.406 0.151
Ac3 0.207 0.081 0.054
Nd1 0.089 0.253 0.663
Er1 0.250 0.250 0.500
# Volume = 1303.47 Å³ per cell
# Total magnetization = 0.000 μB/atom
# Formation energy = 0.103 eV per atom

---

Record 2
# Tl2Hg2Cl, relaxed, DFT GGA-PBE
data_Tl2Hg2Cl
_space_group_name_H-M_alt 'I 4/m m m'
_space_group_IT_number 139
_space_group_name_Hall '-I 4 2'
_cell_length_a 4.296
_cell_length_b 4.296
_cell_length_c 17.223
_cell_angle_alpha 90.00
_cell_angle_beta 90.00
_cell_angle_gamma 90.00
loop_
_atom_site_label
_atom_site_fract_x
_atom_site_fract_y
_atom_site_fract_z
Tl1 0.000 0.000 0.092
Hg1 0.000 0.500 0.250
Cl1 0.000 0.000 0.500
# ΔE to the lowest computed polymorph = 3.9 kJ/mol of atoms
# Volume = 317.90 Å³ per cell
# Total magnetization = 0.000 μB/atom
# Formation energy without anion corrections = -0.28 eV per atom

---

Record 3
# RbUI2Cl6, relaxed, DFT GGA-PBE
data_RbUI2Cl6
_space_group_name_H-M_alt 'P m m n'
_space_group_IT_number 59
_cell_length_a 10.291
_cell_length_b 11.719
_cell_length_c 7.516
_cell_angle_alpha 90.00
_cell_angle_beta 90.00
_cell_angle_gamma 90.00
loop_
_space_group_symop_operation_xyz
'x,y,z'
'-x,-y,-z'
'-x+1/2,-y+1/2,z'
'x+1/2,y+1/2,-z'
'x+1/2,-y,-z'
'-x+1/2,y,z'
'-x,y+1/2,-z'
'x,-y+1/2,z'
loop_
_atom_site_label
_atom_site_fract_x
_atom_site_fract_y
_atom_site_fract_z
Rb1 0.250 0.250 0.245
U1 0.250 0.750 0.256
I1 0.250 0.135 0.747
Cl1 0.078 0.750 0.016
Cl2 0.078 0.750 0.496
Cl3 0.250 0.532 0.256
# Volume = 906.47 Å³ per cell
# Total magnetization = 0.100 μB/atom
# Formation energy without anion corrections = -1.36 eV per atom

---

> Among the records above, which one has the highest volume?

Ac5Nd2Er